## w
A plane-wave DFT calculation with meta-GGA SCAN was carried out for Ho2W3O12 at its PBEsol-relaxed geometry.

Structure (CIF):
```
data_Ho2W3O12
_chemical_formula_sum 'Ho8 W12 O48'
_cell_length_a 10.013
_cell_length_b 10.111
_cell_length_c 17.237
_cell_angle_alpha 90.00
_cell_angle_beta 125.50
_cell_angle_gamma 90.00
_space_group_name_H-M_alt 'P 1 21/c 1'
_space_group_IT_number 14
loop_
_space_group_symop_operation_xyz
'x,y,z'
'-x,-y,-z'
'-x,y+1/2,-z+1/2'
'x,-y+1/2,z+1/2'
loop_
_atom_site_label
_atom_site_type_symbol
_atom_site_fract_x
_atom_site_fract_y
_atom_site_fract_z
Ho1 Ho 0.132 0.031 0.383
Ho2 Ho 0.367 0.031 0.117
W1 W 0.025 0.750 0.000
W2 W 0.247 0.114 0.857
W3 W 0.467 0.614 0.857
O1 O 0.004 0.664 0.083
O2 O 0.065 0.635 0.937
O3 O 0.081 0.020 0.762
O4 O 0.162 0.164 0.083
O5 O 0.191 0.635 0.563
O6 O 0.198 0.214 0.340
O7 O 0.285 0.064 0.967
O8 O 0.295 0.586 0.861
O9 O 0.350 0.064 0.532
O10 O 0.427 0.086 0.861
O11 O 0.444 0.521 0.762
O12 O 0.482 0.713 0.340
```

Summary:
Volume: 20.9 A^3/atom

---

## x
A plane-wave DFT calculation with meta-GGA SCAN was carried out for Ho2W3O12 at its PBEsol-relaxed geometry.

Structure (CIF):
```
data_Ho2W3O12
_chemical_formula_sum 'Ho8 W12 O48'
_cell_length_a 7.558
_cell_length_b 11.150
_cell_length_c 11.214
_cell_angle_alpha 90.00
_cell_angle_beta 108.91
_cell_angle_gamma 90.00
_space_group_name_H-M_alt 'C 1 2/c 1'
_space_group_IT_number 15
loop_
_space_group_symop_operation_xyz
'x,y,z'
'-x,-y,-z'
'-x,y,-z+1/2'
'x,-y,z+1/2'
'x+1/2,y+1/2,z'
'-x+1/2,-y+1/2,-z'
'-x+1/2,y+1/2,-z+1/2'
'x+1/2,-y+1/2,z+1/2'
loop_
_atom_site_label
_atom_site_type_symbol
_atom_site_fract_x
_atom_site_fract_y
_atom_site_fract_z
Ho1 Ho 0.166 0.123 0.092
W1 W 0.000 0.134 0.750
W2 W 0.147 0.391 0.553
O1 O 0.053 0.280 0.439
O2 O 0.065 0.463 0.923
O3 O 0.131 0.048 0.458
O4 O 0.132 0.209 0.896
O5 O 0.171 0.039 0.721
O6 O 0.218 0.315 0.704
```

Summary:
Volume: 13.1 A^3/atom

---

Question: of the structures shown, which is the most stable? Reply: x.